(1)
DFT (PBE) results for a relaxed Na2PmRe3O12 crystal.

Cell: 6.7344 6.7344 6.7344 Å, 67.34 67.34 67.34°
Sites, in units of the cell vectors:
Na: 0.1292 0.1292 0.1292
Na: 0.8708 0.8708 0.8708
Pm: 0.5000 0.5000 0.5000
Re: 0.0000 0.5000 0.5000
Re: 0.5000 0.0000 0.5000
Re: 0.5000 0.5000 0.0000
O: 0.0734 0.6382 0.6382
O: 0.2322 0.2322 0.5953
O: 0.2322 0.5953 0.2322
O: 0.3618 0.3618 0.9266
O: 0.3618 0.9266 0.3618
O: 0.4047 0.7678 0.7678
O: 0.5953 0.2322 0.2322
O: 0.6382 0.0734 0.6382
O: 0.6382 0.6382 0.0734
O: 0.7678 0.4047 0.7678
O: 0.7678 0.7678 0.4047
O: 0.9266 0.3618 0.3618

Output
ρ: 6.3 Mg/m³
V: 249.8 Å³ per cell
ΔE_f (raw): -1.813 eV/atom
total energy: -7.603 eV/atom

=====

(2)
DFT (PBE) results for a relaxed NaPmReO5 crystal.

Cell: 6.1945 6.1945 8.2270 Å, 100.92 100.92 111.53°
Sites, in units of the cell vectors:
Na: 0.1954 0.8046 0.7500
Na: 0.8046 0.1954 0.2500
Pm: 0.5000 0.5000 0.0000
Pm: 0.5000 0.5000 0.5000
Re: 0.1773 0.8227 0.2500
Re: 0.8227 0.1773 0.7500
O: 0.0750 0.2127 0.9193
O: 0.1766 0.5957 0.3601
O: 0.2127 0.0750 0.4193
O: 0.4043 0.8234 0.1399
O: 0.4139 0.5861 0.7500
O: 0.5861 0.4139 0.2500
O: 0.5957 0.1766 0.8601
O: 0.7873 0.9250 0.5807
O: 0.8234 0.4043 0.6399
O: 0.9250 0.7873 0.0807

Output
ρ: 5.2 Mg/m³
V: 276.5 Å³ per cell
ΔE_f (raw): -2.074 eV/atom
total energy: -7.488 eV/atom

=====

(3)
DFT (PBE) results for a relaxed Na4Pm3RhO8 crystal.

Cell: 6.8781 6.8781 6.8781 Å, 59.69 59.69 59.69°
Sites, in units of the cell vectors:
Na: 0.0000 0.0000 0.0000
Na: 0.0000 0.5000 0.5000
Na: 0.5000 0.0000 0.5000
Na: 0.5000 0.5000 0.0000
Pm: 0.0000 0.0000 0.5000
Pm: 0.0000 0.5000 0.0000
Pm: 0.5000 0.0000 0.0000
Rh: 0.5000 0.5000 0.5000
O: 0.2395 0.2395 0.2395
O: 0.2584 0.7295 0.7295
O: 0.2705 0.2705 0.7416
O: 0.2705 0.7416 0.2705
O: 0.7295 0.2584 0.7295
O: 0.7295 0.7295 0.2584
O: 0.7416 0.2705 0.2705
O: 0.7605 0.7605 0.7605

Output
ρ: 5.5 Mg/m³
V: 228.5 Å³ per cell
ΔE_f (raw): -2.190 eV/atom
total energy: -6.349 eV/atom

=====

(4)
DFT (PBE) results for a relaxed NaPm2Rh3O8 crystal.

Cell: 6.4032 6.4032 6.4032 Å, 61.90 61.90 61.90°
Sites, in units of the cell vectors:
Na: 0.0000 0.0000 0.0000
Pm: 0.2339 0.2339 0.2339
Pm: 0.6326 0.6326 0.6326
Rh: 0.1198 0.6249 0.6249
Rh: 0.6249 0.1198 0.6249
Rh: 0.6249 0.6249 0.1198
O: 0.3761 0.3761 0.8249
O: 0.3761 0.8249 0.3761
O: 0.3905 0.3905 0.3905
O: 0.4132 0.8834 0.8834
O: 0.8249 0.3761 0.3761
O: 0.8517 0.8517 0.8517
O: 0.8834 0.4132 0.8834
O: 0.8834 0.8834 0.4132

Output
ρ: 6.4 Mg/m³
V: 193.6 Å³ per cell
ΔE_f (raw): -1.688 eV/atom
total energy: -6.869 eV/atom

=====

(5)
DFT (PBE) results for a relaxed NaPm2RhO5 crystal.

Cell: 6.7637 6.7637 5.8012 Å, 90.00 90.00 90.00°
Sites, in units of the cell vectors:
Na: 0.0000 0.0000 0.0000
Na: 0.5000 0.5000 0.0000
Pm: 0.1767 0.3233 0.5000
Pm: 0.3233 0.8233 0.5000
Pm: 0.6767 0.1767 0.5000
Pm: 0.8233 0.6767 0.5000
Rh: 0.0000 0.5000 0.0000
Rh: 0.5000 0.0000 0.0000
O: 0.0000 0.0000 0.5000
O: 0.1358 0.6358 0.2516
O: 0.1358 0.6358 0.7484
O: 0.3642 0.1358 0.2516
O: 0.3642 0.1358 0.7484
O: 0.5000 0.5000 0.5000
O: 0.6358 0.8642 0.2516
O: 0.6358 0.8642 0.7484
O: 0.8642 0.3642 0.2516
O: 0.8642 0.3642 0.7484

Output
ρ: 6.2 Mg/m³
V: 265.4 Å³ per cell
ΔE_f (raw): -2.224 eV/atom
total energy: -6.997 eV/atom

=====

(6)
DFT (PBE) results for a relaxed Na2PmRh3O8 crystal.

Cell: 6.4444 6.4444 6.4444 Å, 59.23 59.23 59.23°
Sites, in units of the cell vectors:
Na: 0.0000 0.0000 0.0000
Na: 0.3742 0.3742 0.3742
Pm: 0.6142 0.6142 0.6142
Rh: 0.4905 0.9992 0.9992
Rh: 0.9992 0.4905 0.9992
Rh: 0.9992 0.9992 0.4905
O: 0.1942 0.7499 0.7499
O: 0.2287 0.2287 0.2287
O: 0.2539 0.2539 0.8014
O: 0.2539 0.8014 0.2539
O: 0.7499 0.1942 0.7499
O: 0.7499 0.7499 0.1942
O: 0.7634 0.7634 0.7634
O: 0.8014 0.2539 0.2539

Output
ρ: 5.6 Mg/m³
V: 185.9 Å³ per cell
ΔE_f (raw): -1.387 eV/atom
total energy: -6.323 eV/atom

=====

(7)
DFT (PBE) results for a relaxed Na4PmRh3O8 crystal.

Cell: 6.6123 6.6123 6.6123 Å, 57.78 57.78 57.78°
Sites, in units of the cell vectors:
Na: 0.0000 0.0000 0.0000
Na: 0.0000 0.5000 0.5000
Na: 0.5000 0.0000 0.5000
Na: 0.5000 0.5000 0.0000
Pm: 0.5000 0.5000 0.5000
Rh: 0.0000 0.0000 0.5000
Rh: 0.0000 0.5000 0.0000
Rh: 0.5000 0.0000 0.0000
O: 0.2123 0.7527 0.7527
O: 0.2292 0.2292 0.2292
O: 0.2473 0.2473 0.7877
O: 0.2473 0.7877 0.2473
O: 0.7527 0.2123 0.7527
O: 0.7527 0.7527 0.2123
O: 0.7708 0.7708 0.7708
O: 0.7877 0.2473 0.2473

Output
ρ: 5.8 Mg/m³
V: 194.0 Å³ per cell
ΔE_f (raw): -1.454 eV/atom
total energy: -5.938 eV/atom

=====

(8)
DFT (PBE) results for a relaxed NaPm2RhO6 crystal.

Cell: 5.5076 5.9627 9.5924 Å, 90.00 124.00 90.00°
Sites, in units of the cell vectors:
Na: 0.0000 0.0000 0.0000
Na: 0.0000 0.5000 0.5000
Pm: 0.2232 0.0763 0.7457
Pm: 0.2232 0.4237 0.2457
Pm: 0.7768 0.5763 0.7543
Pm: 0.7768 0.9237 0.2543
Rh: 0.5000 0.0000 0.5000
Rh: 0.5000 0.5000 0.0000
O: 0.1483 0.1732 0.4455
O: 0.1483 0.3268 0.9455
O: 0.2664 0.7164 0.4283
O: 0.2664 0.7836 0.9283
O: 0.3943 0.0538 0.2675
O: 0.3943 0.4462 0.7675
O: 0.6057 0.5538 0.2325
O: 0.6057 0.9462 0.7325
O: 0.7336 0.2164 0.0717
O: 0.7336 0.2836 0.5717
O: 0.8517 0.6732 0.0545
O: 0.8517 0.8268 0.5545

Output
ρ: 6.5 Mg/m³
V: 261.2 Å³ per cell
ΔE_f (raw): -2.181 eV/atom
total energy: -6.973 eV/atom

=====

(9)
DFT (PBE) results for a relaxed NaPmRhO4 crystal.

Cell: 3.8606 3.8606 12.3759 Å, 90.00 90.00 90.00°
Sites, in units of the cell vectors:
Na: 0.0000 0.0000 0.0000
Na: 0.5000 0.5000 0.5000
Pm: 0.0000 0.0000 0.7008
Pm: 0.5000 0.5000 0.2008
Rh: 0.0000 0.0000 0.3591
Rh: 0.5000 0.5000 0.8591
O: 0.0000 0.0000 0.1842
O: 0.0000 0.0000 0.5184
O: 0.0000 0.5000 0.3250
O: 0.0000 0.5000 0.8250
O: 0.5000 0.0000 0.3250
O: 0.5000 0.0000 0.8250
O: 0.5000 0.5000 0.0184
O: 0.5000 0.5000 0.6842

Output
ρ: 6.0 Mg/m³
V: 184.4 Å³ per cell
ΔE_f (raw): -1.784 eV/atom
total energy: -6.535 eV/atom

=====

(10)
DFT (PBE) results for a relaxed NaPmRu2O8 crystal.

Cell: 6.9493 6.9493 6.9493 Å, 135.20 135.20 65.22°
Sites, in units of the cell vectors:
Na: 0.0000 0.0000 0.0000
Pm: 0.2500 0.7500 0.5000
Ru: 0.5000 0.5000 0.0000
Ru: 0.7500 0.2500 0.5000
O: 0.2733 0.6601 0.1042
O: 0.3399 0.4441 0.6132
O: 0.4231 0.0164 0.0989
O: 0.5559 0.1691 0.8958
O: 0.6757 0.5769 0.5933
O: 0.8309 0.7267 0.3868
O: 0.9176 0.3243 0.9011
O: 0.9836 0.0824 0.4067

Output
ρ: 5.0 Mg/m³
V: 164.2 Å³ per cell
ΔE_f (raw): -1.452 eV/atom
total energy: -6.809 eV/atom

=====

(11)
DFT (PBE) results for a relaxed NaPm2RuO5 crystal.

Cell: 6.7836 6.7836 5.7903 Å, 90.00 90.00 90.00°
Sites, in units of the cell vectors:
Na: 0.0000 0.0000 0.0000
Na: 0.5000 0.5000 0.0000
Pm: 0.1769 0.3231 0.5000
Pm: 0.3231 0.8231 0.5000
Pm: 0.6769 0.1769 0.5000
Pm: 0.8231 0.6769 0.5000
Ru: 0.0000 0.5000 0.0000
Ru: 0.5000 0.0000 0.0000
O: 0.0000 0.0000 0.5000
O: 0.1356 0.6356 0.2495
O: 0.1356 0.6356 0.7505
O: 0.3644 0.1356 0.2495
O: 0.3644 0.1356 0.7505
O: 0.5000 0.5000 0.5000
O: 0.6356 0.8644 0.2495
O: 0.6356 0.8644 0.7505
O: 0.8644 0.3644 0.2495
O: 0.8644 0.3644 0.7505

Output
ρ: 6.2 Mg/m³
V: 266.5 Å³ per cell
ΔE_f (raw): -2.271 eV/atom
total energy: -7.258 eV/atom

=====

(12)
DFT (PBE) results for a relaxed NaPm2RuO6 crystal.

Cell: 5.5206 5.9501 9.6273 Å, 90.00 123.86 90.00°
Sites, in units of the cell vectors:
Na: 0.0000 0.0000 0.0000
Na: 0.0000 0.5000 0.5000
Pm: 0.2221 0.0729 0.7451
Pm: 0.2221 0.4271 0.2451
Pm: 0.7779 0.5729 0.7549
Pm: 0.7779 0.9271 0.2549
Ru: 0.5000 0.0000 0.5000
Ru: 0.5000 0.5000 0.0000
O: 0.1528 0.1730 0.4464
O: 0.1528 0.3270 0.9464
O: 0.2618 0.7188 0.4251
O: 0.2618 0.7812 0.9251
O: 0.3981 0.0565 0.2705
O: 0.3981 0.4435 0.7705
O: 0.6019 0.5565 0.2295
O: 0.6019 0.9435 0.7295
O: 0.7382 0.2188 0.0749
O: 0.7382 0.2812 0.5749
O: 0.8472 0.6730 0.0536
O: 0.8472 0.8270 0.5536

Output
ρ: 6.5 Mg/m³
V: 262.6 Å³ per cell
ΔE_f (raw): -2.325 eV/atom
total energy: -7.309 eV/atom